[1]
{
  "formula": "YScMo2",
  "functional": "GGA-PBE",
  "state": "optimized geometry",
  "polymorph_energy_kj_per_mol_atoms": 80.1,
  "ef_mev_per_atom": 893,
  "total_magnetization_mub_per_cell": 0.0,
  "energy_ev_per_atom": -7.722,
  "n_ef_per_ev_fu": 7.5,
  "cell": [[-3.8191, 3.8191, 2.8540], [3.8191, -3.8191, 2.8540], [3.8191, 3.8191, -2.8540]],
  "species": ["Y", "Y", "Sc", "Sc", "Mo", "Mo", "Mo", "Mo"],
  "frac_coords": [[0.0000, 0.0000, 0.0000], [0.7500, 0.2500, 0.5000], [0.2500, 0.7500, 0.5000], [0.5000, 0.5000, 0.0000], [0.1427, 0.1250, 0.5177], [0.3750, 0.8573, 0.9823], [0.6073, 0.6250, 0.4823], [0.8750, 0.3927, 0.0177]]
}

=====

[2]
{
  "formula": "VTc3Pd",
  "functional": "GGA-PBE",
  "state": "optimized geometry",
  "polymorph_energy_kj_per_mol_atoms": 0.0,
  "ef_mev_per_atom": 1169,
  "total_magnetization_mub_per_cell": 0.0,
  "energy_ev_per_atom": -7.913,
  "n_ef_per_ev_fu": 4.4,
  "cell": [[4.4131, 0.0000, 0.0000], [0.0000, 4.4131, 0.0000], [0.0000, 0.0000, 4.4131]],
  "species": ["V", "Tc", "Tc", "Tc", "Pd"],
  "frac_coords": [[0.0000, 0.0000, 0.0000], [0.0000, 0.0000, 0.5000], [0.0000, 0.5000, 0.0000], [0.5000, 0.0000, 0.0000], [0.5000, 0.5000, 0.5000]]
}